1.
# PBE NdSn2Pb, relaxed
data_NdSn2Pb
_cell_length_a 5.174
_cell_length_b 5.174
_cell_length_c 8.432
_cell_angle_alpha 72.13
_cell_angle_beta 72.13
_cell_angle_gamma 60.00
_space_group_name_H-M_alt 'P 1'
_space_group_IT_number 1
loop_
_space_group_symop_operation_xyz
'x,y,z'
loop_
_atom_site_label
_atom_site_fract_x
_atom_site_fract_y
_atom_site_fract_z
Nd1 0.500 0.500 0.500
Pb1 0.000 0.000 0.000
Sn1 0.121 0.121 0.636
Sn2 0.879 0.879 0.364
# Energy of formation ... 0.2822 eV per atom
# ρ ... 5.3 g/cm³
# Total moment ... 0.00 μB per cell
# Crystal system ... trigonal

2.
# PBE Sm2Ho6Tl, relaxed
data_Sm2Ho6Tl
_cell_length_a 3.492
_cell_length_b 10.151
_cell_length_c 9.582
_cell_angle_alpha 121.98
_cell_angle_beta 100.49
_cell_angle_gamma 90.00
_space_group_name_H-M_alt 'P 1'
_space_group_IT_number 1
loop_
_space_group_symop_operation_xyz
'x,y,z'
loop_
_atom_site_label
_atom_site_fract_x
_atom_site_fract_y
_atom_site_fract_z
Ho1 0.177 0.014 0.354
Tl1 0.000 0.000 0.000
Sm1 0.846 0.346 0.693
Ho2 0.500 0.697 0.000
Ho3 0.500 0.303 0.000
Sm2 0.154 0.654 0.307
Ho4 0.823 0.661 0.646
Ho5 0.177 0.339 0.354
Ho6 0.823 0.986 0.646
# Energy of formation ... 0.0014 eV per atom
# ρ ... 8.8 g/cm³
# Total moment ... 0.00 μB per cell
# Crystal system ... orthorhombic

3.
# PBE GaFe2Ru2, relaxed
data_GaFe2Ru2
_cell_length_a 6.965
_cell_length_b 6.965
_cell_length_c 2.716
_cell_angle_alpha 90.00
_cell_angle_beta 90.00
_cell_angle_gamma 90.00
_space_group_name_H-M_alt 'P 1'
_space_group_IT_number 1
loop_
_space_group_symop_operation_xyz
'x,y,z'
loop_
_atom_site_label
_atom_site_fract_x
_atom_site_fract_y
_atom_site_fract_z
Ru1 0.176 0.676 0.500
Ga1 0.000 0.000 0.000
Fe1 0.617 0.117 0.000
Ru2 0.676 0.824 0.500
Fe2 0.883 0.617 0.000
Ru3 0.824 0.324 0.500
Ru4 0.324 0.176 0.500
Fe3 0.117 0.383 0.000
Fe4 0.383 0.883 0.000
Ga2 0.500 0.500 0.000
# Energy of formation ... 0.2323 eV per atom
# ρ ... 9.7 g/cm³
# Total moment ... 0.00 μB per cell
# Crystal system ... tetragonal

4.
# PBE Ca6SnHg3, relaxed
data_Ca6SnHg3
_cell_length_a 5.374
_cell_length_b 9.618
_cell_length_c 11.951
_cell_angle_alpha 105.96
_cell_angle_beta 90.00
_cell_angle_gamma 90.00
_space_group_name_H-M_alt 'P 1'
_space_group_IT_number 1
loop_
_space_group_symop_operation_xyz
'x,y,z'
loop_
_atom_site_label
_atom_site_fract_x
_atom_site_fract_y
_atom_site_fract_z
Ca1 0.750 0.154 0.672
Ca2 0.750 0.892 0.104
Hg1 0.250 0.534 0.387
Ca3 0.250 0.242 0.507
Sn1 0.250 0.939 0.628
Ca4 0.250 0.485 0.100
Ca5 0.750 0.858 0.807
Ca6 0.750 0.515 0.900
Ca7 0.250 0.108 0.896
Ca8 0.250 0.846 0.328
Hg2 0.750 0.466 0.613
Ca9 0.250 0.142 0.193
Ca10 0.750 0.758 0.493
Ca11 0.750 0.374 0.323
Hg3 0.750 0.225 0.039
Hg4 0.250 0.363 0.789
Ca12 0.250 0.626 0.677
Hg5 0.250 0.775 0.961
Sn2 0.750 0.061 0.372
Hg6 0.750 0.637 0.211
# Energy of formation ... -0.4851 eV per atom
# ρ ... 5.4 g/cm³
# Total moment ... 0.00 μB per cell
# Crystal system ... monoclinic